First-principles (GGA+U) data for crystalline AcVTeO6 at its relaxed geometry, as listed in the Alexandria database.

The space-group type is P1, No. 1. For the electronic total energy, the calculation gives -7.023 eV per atom. The value obtained for the total moment is 0.0 Bohr magnetons per cell. The density of states at the Fermi level is 0.0000 states/eV per atom.

Lattice parameters (Å, degrees): 5.0272 5.5375 5.5407 60.09 89.96 90.00
Closest atoms and distances in Å follow each position.
Sites, in units of the cell vectors:
Ac (0.0000, 0.0000, 0.0000)  6 O 2.52-2.61
V (0.4861, 0.6666, 0.6676)  3 O 1.75
Te (0.4170, 0.3328, 0.3340)  3 O 1.95
O (0.2028, 0.0031, 0.4327)  1 Te 1.95
O (0.2030, 0.5638, 0.0045)  1 Te 1.95
O (0.2043, 0.4321, 0.5660)  1 Te 1.95, 1 V 2.18
O (0.6341, 0.9045, 0.7478)  1 V 1.75
O (0.6375, 0.3514, 0.9037)  1 V 1.75
O (0.6373, 0.7471, 0.3517)  1 V 1.75